No. 1
PSeN2 | PBE | optimized geometry

POSCAR file:
```
PSeN2
1.0
-0.5806 -3.7375 3.2999
-0.8474 -3.2000 -3.7733
3.0628 -4.2324 -0.4372
N P Se
4 2 2
direct
0.4512 0.6250 0.2500
0.2988 0.1250 0.2500
0.8750 0.5488 0.7500
0.3750 0.7012 0.7500
0.5000 0.5000 0.0000
0.2500 0.7500 0.5000
0.0000 0.0000 0.0000
0.7500 0.2500 0.5000
```

## Properties
* space-group type: No. 122
* relative energy among the computed polymorphs: 178 meV per atom
* formation energy without anion corrections: 0.5858 eV per atom
* calculated volume: 97.2 Å³/cell
* DOS at the Fermi energy: 6.2 states/eV/cell
* M_tot: 0.000 μB/atom

***

No. 2
NaMg2GaCo | PBE | optimized geometry

POSCAR file:
```
NaMg2GaCo
1.0
-2.9836 2.1966 -3.1785
-3.8369 -1.2128 2.7635
0.4259 3.9290 2.3155
Ga Mg Na Co
1 2 1 1
direct
0.0000 0.0000 0.5000
0.0000 0.5000 0.0000
0.5000 0.0000 0.0000
0.5000 0.5000 0.5000
0.0000 0.0000 0.0000
```

## Properties
* space-group type: No. 123
* energy of formation: 0.0018 eV/atom
* calculated volume: 109.1 Å³/cell
* DOS at the Fermi energy: 1.6 states/eV/cell
* M_tot: 0.000 μB/atom

***

No. 3
Tb2Y5Ho4 | PBE | optimized geometry

POSCAR file:
```
Tb2Y5Ho4
1.0
3.5082 -0.5180 -0.0370
-2.2924 8.9180 -1.8995
1.8261 -0.5523 11.6282
Ho Y Tb
4 5 2
direct
0.7724 0.4541 0.3637
0.3187 0.3648 0.0921
0.2276 0.5459 0.6363
0.6813 0.6352 0.9079
0.0450 0.9087 0.7269
0.5895 0.8159 0.4529
0.9550 0.0913 0.2731
0.4105 0.1841 0.5471
0.5000 0.0000 0.0000
0.1357 0.7254 0.1797
0.8643 0.2746 0.8203
```

## Properties
* space-group type: No. 12
* relative energy among the computed polymorphs: 0 meV per atom
* energy of formation: 0.0213 eV/atom
* calculated volume: 348.7 Å³/cell
* DOS at the Fermi energy: 15.2 states/eV/cell
* M_tot: 0.000 μB/atom

***

No. 4
CuSnAsO6 | PBE | optimized geometry

POSCAR file:
```
CuSnAsO6
1.0
-1.2334 -4.9228 0.8456
4.4657 1.1805 -2.2659
3.8217 0.3693 7.7243
O Sn As Cu
12 2 2 2
direct
0.0312 0.3653 0.1288
0.3653 0.0312 0.6288
0.3653 0.3341 0.8712
0.9688 0.6347 0.8712
0.9688 0.3341 0.6288
0.6347 0.6659 0.1288
0.6659 0.6347 0.6288
0.6659 0.0312 0.8712
0.0312 0.6659 0.3712
0.3341 0.9688 0.1288
0.3341 0.3653 0.3712
0.6347 0.9688 0.3712
0.6667 0.3333 0.2500
0.3333 0.6667 0.7500
0.3333 0.6667 0.2500
0.6667 0.3333 0.7500
0.0000 0.0000 0.5000
0.0000 0.0000 0.0000
```

## Properties
* space-group type: No. 163
* formation energy without anion corrections: -0.9377 eV per atom
* calculated volume: 197.7 Å³/cell
* DOS at the Fermi energy: 8.3 states/eV/cell
* M_tot: 0.227 μB/atom

***

No. 5
PrDy4Y10 | PBE | optimized geometry

POSCAR file:
```
PrDy4Y10
1.0
9.7693 0.0000 4.4112
4.8846 6.9885 2.2056
2.0086 0.0000 8.5749
Y Dy Pr
10 4 1
direct
0.9533 0.6593 0.0933
0.9533 0.0933 0.3407
0.2940 0.6593 0.0933
0.7060 0.3407 0.9067
0.2500 0.5000 0.5000
0.0467 0.9067 0.6593
0.6126 0.0933 0.3407
0.3874 0.9067 0.6593
0.0467 0.3407 0.9067
0.7500 0.5000 0.5000
0.4486 0.3304 0.7723
0.2210 0.2277 0.3304
0.7790 0.7723 0.6696
0.5514 0.6696 0.2277
0.0000 0.0000 0.0000
```

## Properties
* space-group type: No. 87
* energy of formation: 0.4902 eV/atom
* calculated volume: 523.5 Å³/cell
* DOS at the Fermi energy: 29.6 states/eV/cell
* M_tot: 0.000 μB/atom

***

No. 6
CuSnRh2 | PBE | optimized geometry

POSCAR file:
```
CuSnRh2
1.0
-3.0287 1.0595 -0.0438
-0.2238 -0.4612 4.3211
1.4204 4.0814 0.5092
Rh Sn Cu
2 1 1
direct
0.0000 0.5000 0.0000
0.0000 0.0000 0.5000
0.5000 0.0000 0.0000
0.5000 0.5000 0.5000
```

## Properties
* space-group type: No. 123
* energy of formation: -0.2658 eV/atom
* calculated volume: 60.8 Å³/cell
* DOS at the Fermi energy: 3.5 states/eV/cell
* M_tot: 0.000 μB/atom

***

No. 7
RbTl2Pt | PBE | optimized geometry

POSCAR file:
```
RbTl2Pt
1.0
4.4865 0.0000 0.0000
2.2433 3.8855 0.0000
2.2433 1.2952 7.6582
Tl Rb Pt
2 1 1
direct
0.2807 0.2807 0.1580
0.0528 0.0528 0.8416
0.4997 0.4997 0.5008
0.6668 0.6668 0.9996
```

## Properties
* space-group type: No. 160
* energy of formation: -0.1268 eV/atom
* calculated volume: 133.5 Å³/cell
* DOS at the Fermi energy: 1.9 states/eV/cell
* M_tot: 0.000 μB/atom

***

No. 8
KB3Os | PBE | optimized geometry

POSCAR file:
```
KB3Os
1.0
-2.9986 -0.3121 -2.9318
-0.8898 -3.8909 1.3243
-2.8109 1.5646 2.7084
B K Os
3 1 1
direct
0.0000 0.5000 0.0000
0.0000 0.0000 0.5000
0.5000 0.0000 0.0000
0.5000 0.5000 0.5000
0.0000 0.0000 0.0000
```

## Properties
* space-group type: No. 221
* relative energy among the computed polymorphs: 0 meV per atom
* energy of formation: 0.4942 eV/atom
* calculated volume: 74.4 Å³/cell
* DOS at the Fermi energy: 0.0 states/eV/cell
* M_tot: 0.000 μB/atom

***

No. 9
CrCo2Pb | PBE | optimized geometry

POSCAR file:
```
CrCo2Pb
1.0
-2.5510 -0.7508 3.4680
-3.6597 -2.1204 1.0995
1.9083 -4.2981 1.5923
Cr Pb Co
1 1 2
direct
0.7500 0.7500 0.7500
0.2500 0.2500 0.2500
0.0126 0.0126 0.9425
0.4874 0.4874 0.5575
```

## Properties
* space-group type: No. 12
* energy of formation: 0.5347 eV/atom
* calculated volume: 59.2 Å³/cell
* DOS at the Fermi energy: 5.4 states/eV/cell
* M_tot: 0.879 μB/atom

***

No. 10
NdSm2In6 | PBE | optimized geometry

POSCAR file:
```
NdSm2In6
1.0
4.6623 0.0000 0.0000
2.3311 8.1397 1.7188
2.3311 3.2917 7.6403
In Sm Nd
6 2 1
direct
0.3112 0.3838 0.9938
0.6888 0.0062 0.6162
0.5000 0.3061 0.6939
0.3112 0.9938 0.3838
0.5000 0.6939 0.3061
0.6888 0.6162 0.0062
0.1216 0.3784 0.3784
0.8784 0.6216 0.6216
0.0000 0.0000 0.0000
```

## Properties
* space-group type: No. 71
* relative energy among the computed polymorphs: 129 meV per atom
* energy of formation: -0.3274 eV/atom
* calculated volume: 263.6 Å³/cell
* DOS at the Fermi energy: 5.1 states/eV/cell
* M_tot: 0.000 μB/atom

***

No. 11
Sr2Y | PBE | optimized geometry

POSCAR file:
```
Sr2Y
1.0
-5.0622 -17.1736 4.5359
-3.1821 -15.5616 9.4257
1.6232 17.2786 -6.3204
Sr Y
4 2
direct
0.9247 0.9247 0.0000
0.6747 0.1747 0.5000
0.0753 0.0753 0.0000
0.8253 0.3253 0.5000
0.5000 0.5000 0.0000
0.2500 0.7500 0.5000
```

## Properties
* space-group type: No. 141
* relative energy among the computed polymorphs: 86 meV per atom
* energy of formation: 0.2269 eV/atom
* calculated volume: 274.4 Å³/cell
* DOS at the Fermi energy: 9.8 states/eV/cell
* M_tot: 0.228 μB/atom

***

No. 12
Gd2MgZr | PBE | optimized geometry

POSCAR file:
```
Gd2MgZr
1.0
3.4204 0.0000 0.0000
0.0000 3.4204 0.0000
0.0000 0.0000 9.4321
Gd Zr Mg
2 1 1
direct
0.0000 0.0000 0.7442
0.0000 0.0000 0.2558
0.5000 0.5000 0.5000
0.5000 0.5000 0.0000
```

## Properties
* space-group type: No. 123
* relative energy among the computed polymorphs: 0 meV per atom
* energy of formation: -0.0050 eV/atom
* calculated volume: 110.3 Å³/cell
* DOS at the Fermi energy: 4.4 states/eV/cell
* M_tot: 3.659 μB/atom

***

No. 13
BaTaB2Pb | PBE | optimized geometry

POSCAR file:
```
BaTaB2Pb
1.0
-0.3766 -3.8157 -3.0989
4.0501 2.1570 -3.1482
3.3599 -2.4685 2.6311
Ba B Pb Ta
1 2 1 1
direct
0.5000 0.5000 0.5000
0.5000 0.0000 0.0000
0.0000 0.0000 0.5000
0.0000 0.0000 0.0000
0.0000 0.5000 0.0000
```

## Properties
* space-group type: No. 123
* energy of formation: 2.0776 eV/atom
* calculated volume: 135.3 Å³/cell
* DOS at the Fermi energy: 4.7 states/eV/cell
* M_tot: 0.279 μB/atom

***

No. 14
CePr2Zr | PBE | optimized geometry

POSCAR file:
```
CePr2Zr
1.0
3.3988 0.0000 0.0000
1.6994 2.9435 0.0000
1.6994 0.9812 12.1253
Zr Pr Ce
1 2 1
direct
0.0000 0.0000 0.0000
0.9138 0.9138 0.2586
0.0862 0.0862 0.7414
0.5000 0.5000 0.5000
```

## Properties
* space-group type: No. 166
* relative energy among the computed polymorphs: 166 meV per atom
* energy of formation: 0.3556 eV/atom
* calculated volume: 121.3 Å³/cell
* DOS at the Fermi energy: 6.9 states/eV/cell
* M_tot: 0.095 μB/atom

***

No. 15
Cs2Tl3Pb | PBE | optimized geometry

POSCAR file:
```
Cs2Tl3Pb
1.0
-7.1334 -2.9257 -3.3158
4.0446 -7.7172 -1.8920
0.5814 0.7354 8.7221
Tl Pb Cs
6 2 4
direct
0.2054 0.2500 0.0000
0.1192 0.0596 0.2356
0.8836 0.4404 0.7644
0.8808 0.9404 0.7644
0.7946 0.7500 0.0000
0.1164 0.5596 0.2356
0.8127 0.2500 0.0000
0.1873 0.7500 0.0000
0.3409 0.9213 0.6814
0.6591 0.0787 0.3186
0.3405 0.4213 0.6814
0.6595 0.5787 0.3186
```

## Properties
* space-group type: No. 15
* energy of formation: -0.1231 eV/atom
* calculated volume: 551.9 Å³/cell
* DOS at the Fermi energy: 6.6 states/eV/cell
* M_tot: 0.000 μB/atom

***

No. 16
MgIn4Ag | PBE | optimized geometry

POSCAR file:
```
MgIn4Ag
1.0
-4.7337 5.2384 1.1173
-4.6276 -4.7506 2.6674
6.8430 0.5923 3.3486
In Mg Ag
8 2 2
direct
0.4844 0.9844 0.2742
0.5156 0.0156 0.7258
0.2898 0.4844 0.2742
0.0156 0.2102 0.7258
0.7898 0.2898 0.2742
0.7102 0.5156 0.7258
0.9844 0.7898 0.2742
0.2102 0.7102 0.7258
0.5000 0.5000 0.0000
0.0000 0.0000 0.0000
0.2500 0.2500 0.5000
0.7500 0.7500 0.5000
```

## Properties
* space-group type: No. 140
* relative energy among the computed polymorphs: 0 meV per atom
* energy of formation: -0.0418 eV/atom
* calculated volume: 292.8 Å³/cell
* DOS at the Fermi energy: 3.6 states/eV/cell
* M_tot: 0.000 μB/atom

***

No. 17
CdP2HS | PBE | optimized geometry

POSCAR file:
```
CdP2HS
1.0
3.5947 0.0000 0.0000
0.0000 3.5947 0.0000
0.0000 0.0000 7.7841
P H Cd S
2 1 1 1
direct
0.5000 0.0000 0.0000
0.0000 0.5000 0.0000
0.0000 0.0000 0.0000
0.5000 0.5000 0.5000
0.0000 0.0000 0.5000
```

## Properties
* space-group type: No. 123
* relative energy among the computed polymorphs: 0 meV per atom
* calculated volume: 100.6 Å³/cell
* DOS at the Fermi energy: 2.6 states/eV/cell
* M_tot: 0.053 μB/atom

***

No. 18
AcYAu2 | PBE | optimized geometry

POSCAR file:
```
AcYAu2
1.0
5.3435 0.0000 0.0000
2.6717 4.6276 0.0000
2.6717 1.5425 4.3629
Y Ac Au
1 1 2
direct
0.5000 0.5000 0.5000
0.0000 0.0000 0.0000
0.7500 0.7500 0.7500
0.2500 0.2500 0.2500
```

## Properties
* space-group type: No. 225
* relative energy among the computed polymorphs: 81 meV per atom
* energy of formation: -0.7474 eV/atom
* calculated volume: 107.9 Å³/cell
* DOS at the Fermi energy: 3.5 states/eV/cell
* M_tot: 0.000 μB/atom

***

No. 19
Th4ZnNi | PBE | optimized geometry

POSCAR file:
```
Th4ZnNi
1.0
-4.1750 -1.2709 -5.6041
3.0707 -6.3485 -0.8480
-3.7870 1.2000 7.0505
Ni Th Zn
2 8 2
direct
0.2500 0.2500 0.5000
0.7500 0.7500 0.5000
0.0264 0.1990 0.7254
0.8010 0.3010 0.2746
0.5264 0.0264 0.7254
0.3010 0.4736 0.2746
0.1990 0.6990 0.7254
0.9736 0.8010 0.2746
0.6990 0.5264 0.7254
0.4736 0.9736 0.2746
0.5000 0.5000 0.0000
0.0000 0.0000 0.0000
```

## Properties
* space-group type: No. 140
* energy of formation: -0.0709 eV/atom
* calculated volume: 320.1 Å³/cell
* DOS at the Fermi energy: 17.3 states/eV/cell
* M_tot: 0.000 μB/atom

***

No. 20
ZrCd2Au | PBE | optimized geometry

POSCAR file:
```
ZrCd2Au
1.0
3.1393 0.0000 0.0000
0.0000 3.1384 0.0000
0.0000 0.0000 8.3569
Cd Zr Au
2 1 1
direct
0.0000 0.0000 0.9855
0.0000 0.0000 0.5145
0.5000 0.5000 0.2500
0.5000 0.5000 0.7500
```

## Properties
* space-group type: No. 123
* energy of formation: -0.1559 eV/atom
* calculated volume: 82.3 Å³/cell
* DOS at the Fermi energy: 4.1 states/eV/cell
* M_tot: 0.000 μB/atom